Entry 1:
Al2SbS2: relaxed, PBE-GGA.

Calculated values
magnetization: 0.00 μB per formula unit
energy relative to the lowest polymorph listed for this composition: 0.0 meV/atom
raw formation energy: -0.06 eV per atom

abc: 4.357 4.357 6.396
angles: 70.09 70.09 90.00
Positions (direct):
Al (0.250, 0.750, 0.500)
Al (0.750, 0.250, 0.500)
S (0.658, 0.658, 0.684)
S (0.342, 0.342, 0.316)
Sb (0.000, 0.000, 0.000)

Entry 2:
AlSbS2: relaxed, PBE-GGA.

Calculated values
magnetization: 0.00 μB per formula unit
energy relative to the lowest polymorph listed for this composition: 26.9 meV/atom
raw formation energy: -0.66 eV per atom

abc: 3.489 3.489 8.138
angles: 90.00 90.00 120.00
Positions (direct):
Sb (0.333, 0.667, 0.509)
S (0.333, 0.667, 0.815)
S (0.667, 0.333, 0.142)
Al (0.000, 0.000, 0.990)

Entry 3:
AlSb2S4: relaxed, PBE-GGA.

Calculated values
magnetization: 0.00 μB per formula unit
energy relative to the lowest polymorph listed for this composition: 0.0 meV/atom
raw formation energy: -0.40 eV per atom

abc: 7.242 6.597 8.497
angles: 90.00 104.55 90.00
Positions (direct):
S (0.939, 0.250, 0.652)
S (0.865, 0.250, 0.045)
S (0.135, 0.750, 0.955)
S (0.513, 0.004, 0.293)
S (0.487, 0.996, 0.707)
S (0.513, 0.496, 0.293)
S (0.061, 0.750, 0.348)
S (0.487, 0.504, 0.707)
Al (0.300, 0.750, 0.224)
Al (0.700, 0.250, 0.776)
Sb (0.667, 0.750, 0.575)
Sb (0.852, 0.750, 0.072)
Sb (0.148, 0.250, 0.928)
Sb (0.333, 0.250, 0.425)

Entry 4:
AlSbS2: relaxed, PBE-GGA.

Calculated values
magnetization: 0.00 μB per formula unit
energy relative to the lowest polymorph listed for this composition: 309.8 meV/atom
raw formation energy: -0.38 eV per atom

abc: 7.149 6.601 6.601
angles: 53.98 106.16 73.84
Positions (direct):
S (0.585, 0.521, 0.268)
S (0.915, 0.768, 0.021)
S (0.085, 0.232, 0.979)
S (0.415, 0.479, 0.732)
Sb (0.250, 0.028, 0.528)
Sb (0.750, 0.972, 0.472)
Al (0.750, 0.270, 0.770)
Al (0.250, 0.730, 0.230)

Entry 5:
AlSbS2: relaxed, PBE-GGA.

Calculated values
magnetization: 0.00 μB per formula unit
energy relative to the lowest polymorph listed for this composition: 49.3 meV/atom
raw formation energy: -0.64 eV per atom

abc: 17.046 3.361 8.389
angles: 90.00 121.94 90.00
Positions (direct):
S (0.201, 0.500, 0.862)
S (0.573, 0.500, 0.895)
S (0.927, 0.000, 0.605)
S (0.701, 0.000, 0.362)
S (0.799, 0.500, 0.138)
S (0.427, 0.500, 0.105)
S (0.073, 0.000, 0.395)
S (0.299, 0.000, 0.638)
Al (0.187, 0.500, 0.573)
Al (0.313, 0.000, 0.927)
Al (0.813, 0.500, 0.427)
Al (0.687, 0.000, 0.073)
Sb (0.402, 0.500, 0.372)
Sb (0.902, 0.000, 0.872)
Sb (0.598, 0.500, 0.628)
Sb (0.098, 0.000, 0.128)

Entry 6:
Al2Sb2S7: relaxed, PBE-GGA.

Calculated values
magnetization: 0.00 μB per formula unit
raw formation energy: -0.37 eV per atom

abc: 6.218 6.929 6.929
angles: 110.46 93.80 93.80
Positions (direct):
Sb (0.500, 0.690, 0.310)
Sb (0.500, 0.310, 0.690)
S (0.728, 0.422, 0.064)
S (0.233, 0.433, 0.433)
S (0.000, 0.000, 0.000)
S (0.272, 0.936, 0.578)
S (0.272, 0.578, 0.936)
S (0.728, 0.064, 0.422)
S (0.767, 0.567, 0.567)
Al (0.104, 0.736, 0.736)
Al (0.896, 0.264, 0.264)

Entry 7:
AlSbS2: relaxed, PBE-GGA.

Calculated values
magnetization: 0.00 μB per formula unit
energy relative to the lowest polymorph listed for this composition: 314.6 meV/atom
raw formation energy: -0.37 eV per atom

abc: 8.049 8.049 6.402
angles: 51.05 51.05 90.00
Positions (direct):
Al (0.250, 0.750, 0.500)
Al (0.750, 0.250, 0.500)
Sb (0.250, 0.250, 0.500)
Sb (0.750, 0.750, 0.500)
S (0.345, 0.155, 0.000)
S (0.655, 0.845, 0.000)
S (0.155, 0.655, 0.000)
S (0.845, 0.345, 0.000)

Entry 8:
AlSbS4: relaxed, PBE-GGA.

Calculated values
magnetization: 0.00 μB per formula unit
raw formation energy: -0.48 eV per atom

abc: 3.554 6.779 6.104
angles: 90.81 90.00 90.00
Positions (direct):
S (0.500, 0.218, 0.824)
S (0.500, 0.782, 0.176)
S (0.000, 0.205, 0.342)
S (0.000, 0.795, 0.658)
Sb (0.000, 0.000, 0.000)
Al (0.500, 0.000, 0.500)